(1)
NaMg2CdHg2 after structural relaxation, computed with PBE.

Values from the calculation:
Crystal system: orthorhombic
Formation energy in meV/atom: -168
DOS at the Fermi energy in states/eV/f.u.: 1.5

Cell and atoms, written as extended XYZ:
```
12
Lattice="4.7088 0.0000 0.0000 0.0000 6.5676 0.0000 0.0000 0.0000 8.9975" Properties=species:S:1:pos:R:3 pbc="T T T"
Hg 0.0000 1.9253 7.9090
Hg 2.3544 1.4369 3.1759
Hg 0.0000 5.2091 1.0885
Hg 2.3544 4.7207 5.8215
Mg 0.0000 2.3140 1.6964
Mg 2.3544 3.6232 8.6213
Mg 2.3544 0.3394 0.3762
Mg 0.0000 5.5978 7.3010
Cd 2.3544 1.1721 6.2246
Cd 2.3544 4.4559 2.7728
Na 0.0000 2.9632 4.8971
Na 0.0000 6.2470 4.1004
```

(2)
NdMg2CdHg2 after structural relaxation, computed with PBE.

Values from the calculation:
Crystal system: trigonal
Formation energy in meV/atom: -347
DOS at the Fermi energy in states/eV/f.u.: 2.7

Cell and atoms, written as extended XYZ:
```
6
Lattice="-4.5516 -1.5680 -0.9513 3.3439 0.1494 -3.5885 1.8887 -6.3889 1.4940" Properties=species:S:1:pos:R:3 pbc="T T T"
Hg -0.4563 -5.9461 -0.6727
Hg 1.1373 -1.8615 -2.3731
Mg -1.3185 -3.0294 -1.3548
Mg 1.9995 -4.7782 -1.6910
Cd 0.9444 -3.1945 0.7470
Nd 0.0000 0.0000 0.0000
```

(3)
MgCdNiHg after structural relaxation, computed with PBE.

Values from the calculation:
Crystal system: cubic
Formation energy in meV/atom: 18
DOS at the Fermi energy in states/eV/f.u.: 2.1

Cell and atoms, written as extended XYZ:
```
4
Lattice="4.6747 0.0000 0.0000 2.3373 4.0484 0.0000 2.3373 1.3495 3.8169" Properties=species:S:1:pos:R:3 pbc="T T T"
Mg 4.6747 2.6989 1.9084
Cd 0.0000 0.0000 0.0000
Ni 7.0120 4.0484 2.8626
Hg 2.3373 1.3495 0.9542
```

(4)
Mg2CdHg4Pb after structural relaxation, computed with PBE.

Values from the calculation:
Crystal system: trigonal
Formation energy in meV/atom: -52
DOS at the Fermi energy in states/eV/f.u.: 3.6

Cell and atoms, written as extended XYZ:
```
8
Lattice="5.1495 0.0000 0.0000 2.5748 4.4596 0.0000 2.5748 1.4865 8.4423" Properties=species:S:1:pos:R:3 pbc="T T T"
Hg 5.1495 2.9731 7.2225
Hg 2.5748 1.4865 5.1507
Hg 5.1495 2.9731 1.2198
Hg 7.7243 4.4596 3.2916
Pb 0.0000 0.0000 0.0000
Mg 7.7243 4.4596 6.3313
Mg 2.5748 1.4865 2.1110
Cd 5.1495 2.9731 4.2212
```